No. 1
Below is Pm2Si4Rh5 after structural relaxation, with properties calculated at the PBE level.

abc: 5.6590 9.7202 13.8497
angles: 90.00 90.00 90.00
Space group Fmmm (No. 69)
One atom of each set of equivalent atoms:
1 Pm 0.0000 0.0000 0.1315
2 Si 0.0000 0.1524 0.3678
3 Rh 0.0000 0.0000 0.5000
4 Rh 0.2500 0.2500 0.0000
5 Rh 0.2500 0.2500 0.2500

Calculated values
The value obtained for the total energy is -314.6 eV/cell. The total magnetic moment is 0.000 Bohr magnetons per cell.

=====

No. 2
Below is Li2PaSe6 after structural relaxation, with properties calculated at the PBE level.

abc: 12.6687 4.2337 9.7711
angles: 90.00 115.64 90.00
Space group C2/m (No. 12)
One atom of each set of equivalent atoms:
1 Li 0.1696 0.0000 0.1576
2 Pa 0.0000 0.0000 0.5000
3 Se 0.0238 0.0000 0.8030
4 Se 0.1552 0.5000 0.5616
5 Se 0.1745 0.5000 0.9556

Calculated values
The value obtained for the total energy is -82.1 eV/cell. The total magnetic moment is 0.000 Bohr magnetons per cell.

=====

No. 3
Below is Pm2ErCd3 after structural relaxation, with properties calculated at the PBE level.

abc: 5.3594 5.3594 13.1734
angles: 90.00 90.00 120.00
Space group P-3m1 (No. 164)
One atom of each set of equivalent atoms:
1 Pm 0.0000 0.0000 0.0000
2 Pm 0.0000 0.0000 0.5000
3 Pm 0.3333 0.6667 0.1702
4 Er 0.3333 0.6667 0.6669
5 Cd 0.0000 0.0000 0.2538
6 Cd 0.3333 0.6667 0.4185
7 Cd 0.3333 0.6667 0.9140

Calculated values
The formation energy is -182 kJ/mol of formula units. The total magnetic moment is 2.088 Bohr magnetons per cell.

=====

No. 4
Below is Mn4V after structural relaxation, with properties calculated at the PBE level.

abc: 4.3794 4.3794 4.3794
angles: 90.00 90.00 90.00
Space group Pm-3m (No. 221)
One atom of each set of equivalent atoms:
1 Mn 0.0000 0.0000 0.0000
2 Mn 0.0000 0.5000 0.5000
3 V 0.5000 0.5000 0.5000

Calculated values
The formation energy is 513 kJ/mol of formula units. The total magnetic moment is 11.567 Bohr magnetons per cell.